# Mn2CuPO6

An optimized crystal structure of Mn2CuPO6 (PBE with a Hubbard U, Alexandria).

The magnetization comes out at 8.00 μB/f.u. As for the total energy: -6.912 eV per atom.

The space group is R3 (No. 146, hexagonal axes) and the conventional cell measures 5.0080, 5.0080 and 14.5487 Å, with angles of 90.00, 90.00 and 120.00 degrees. The inequivalent atoms are Mn at (0.0000, 0.0000, 0.0000), Mn at (0.0000, 0.0000, 0.4774), Cu at (0.0000, 0.0000, 0.2498), P at (0.0000, 0.0000, 0.6775), O at (0.0175, 0.2957, 0.7374) and O at (0.0246, 0.7357, 0.5986).